Entry 1:
Entry from the Alexandria database: a geometry-optimized TiCo3Ir structure (GGA-PBE).

Relative energy among the computed polymorphs in meV/atom: 0
DOS at the Fermi energy in states/eV/f.u.: 6.39

abc: 4.161 4.161 4.161
angles: 90.00 90.00 90.00
Each line ends with the local moment (μB).
Sites, in units of the cell vectors:
Co 0.000 0.500 0.000  0.98
Co 0.500 0.000 0.000  1.22
Co 0.000 0.000 0.500  0.82
Ti 0.000 0.000 0.000  -0.35
Ir 0.500 0.500 0.500  0.62

---

Entry 2:
Entry from the Alexandria database: a geometry-optimized Pm3Pr2DyHo6 structure (GGA-PBE).

Raw total energy in eV per cell: -55.7
DOS at the Fermi energy in states/eV/f.u.: 13.79

abc: 6.225 6.225 11.815
angles: 95.02 95.02 119.99
Sites, in units of the cell vectors:
Pr 0.667 0.333 0.000
Pr 0.333 0.667 0.000
Pm 0.833 0.167 0.500
Pm 0.167 0.833 0.500
Pm 0.500 0.500 0.500
Ho 0.752 0.752 0.250
Ho 0.583 0.916 0.750
Ho 0.084 0.417 0.250
Ho 0.248 0.248 0.750
Ho 0.916 0.583 0.750
Ho 0.417 0.084 0.250
Dy 0.000 0.000 0.000

---

What did the first record say?
Entry from the Alexandria database: a geometry-optimized TiCo3Ir structure (GGA-PBE).

Relative energy among the computed polymorphs in meV/atom: 0
DOS at the Fermi energy in states/eV/f.u.: 6.39

abc: 4.161 4.161 4.161
angles: 90.00 90.00 90.00
Each line ends with the local moment (μB).
Sites, in units of the cell vectors:
Co 0.000 0.500 0.000  0.98
Co 0.500 0.000 0.000  1.22
Co 0.000 0.000 0.500  0.82
Ti 0.000 0.000 0.000  -0.35
Ir 0.500 0.500 0.500  0.62